(1)
Below is YSi2Ir after structural relaxation, with properties calculated at the GGA-PBE level.

VASP energy: -7.35 eV/atom
Spin magnetization: 0.000 μB per atom
Calculated density: 7.481 Mg/m³

a = 4.0868 Å, b = 4.0868 Å, c = 15.5237 Å
α = 90.00°, β = 90.00°, γ = 120.00°
Space group R3m (No. 160, hexagonal axes)
Asymmetric unit:
1 Y 0.0000 0.0000 0.0000 [3 per cell]
2 Si 0.0000 0.0000 0.5506 [3 per cell]
3 Si 0.0000 0.0000 0.7911 [3 per cell]
4 Ir 0.0000 0.0000 0.1914 [3 per cell]


(2)
Below is Co2CuOs after structural relaxation, with properties calculated at the GGA-PBE level.

ΔH_f (0 K): 0.37 eV per atom
Spin magnetization: 0.933 μB per atom
E above lowest polymorph: 0.208 eV/atom
Calculated density: 12.459 Mg/m³

a = 2.617 Å, b = 4.346 Å, c = 4.356 Å
α = 90.00°, β = 90.00°, γ = 90.00°
Space group Pmmm (No. 47)
Asymmetric unit:
1 Co 0.000 0.000 0.000 [1 per cell]
2 Co 0.500 0.000 0.500 [1 per cell]
3 Cu 0.000 0.500 0.500 [1 per cell]
4 Os 0.500 0.500 0.000 [1 per cell]


(3)
Below is AsRu4Cl after structural relaxation, with properties calculated at the GGA-PBE level.

VASP energy: -6.24 eV/atom
Spin magnetization: 0.800 μB per atom
Calculated density: 8.474 Mg/m³

a = 7.389 Å, b = 7.389 Å, c = 7.389 Å
α = 90.00°, β = 90.00°, γ = 90.00°
Space group F-43m (No. 216)
Asymmetric unit:
1 As 0.000 0.000 0.000 [4 per cell]
2 Ru 0.125 0.125 0.375 [16 per cell]
3 Cl 0.250 0.250 0.750 [4 per cell]


(4)
Below is SiSbTe2Pt after structural relaxation, with properties calculated at the GGA-PBE level.

Spin magnetization: 0.000 μB per atom
E above lowest polymorph: 0.000 eV/atom
Calculated density: 6.695 Mg/m³

a = 5.420 Å, b = 5.420 Å, c = 5.067 Å
α = 90.00°, β = 90.00°, γ = 90.00°
Space group P4/mmm (No. 123)
Asymmetric unit:
1 Si 0.000 0.000 0.000 [1 per cell]
2 Sb 0.500 0.500 0.000 [1 per cell]
3 Te 0.000 0.500 0.500 [2 per cell]
4 Pt 0.500 0.500 0.500 [1 per cell]


(5)
Below is Y8Ho3Tm4 after structural relaxation, with properties calculated at the GGA-PBE level.

ΔH_f (0 K): 0.17 eV per atom
Spin magnetization: 0.046 μB per atom
E above lowest polymorph: 0.000 eV/atom
Calculated density: 6.452 Mg/m³

a = 6.9161 Å, b = 6.9161 Å, c = 35.0736 Å
α = 90.00°, β = 90.00°, γ = 120.00°
Space group R-3m (No. 166, hexagonal axes)
Asymmetric unit:
1 Y 0.0000 0.0000 0.2449 [6 per cell]
2 Y 0.0010 0.5005 0.7498 [18 per cell]
3 Ho 0.0000 0.5000 0.5000 [9 per cell]
4 Tm 0.0000 0.0000 0.0000 [3 per cell]
5 Tm 0.0000 0.0000 0.3357 [6 per cell]
6 Tm 0.0000 0.0000 0.5000 [3 per cell]


(6)
Below is PuPaZnGa after structural relaxation, with properties calculated at the GGA-PBE level.

ΔH_f (0 K): 0.12 eV per atom
Spin magnetization: 1.433 μB per atom
E above lowest polymorph: 0.182 eV/atom
Calculated density: 11.714 Mg/m³

a = 5.430 Å, b = 2.991 Å, c = 10.651 Å
α = 90.00°, β = 90.00°, γ = 90.00°
Space group Amm2 (No. 38)
Asymmetric unit:
1 Pu 0.000 0.000 0.000 [2 per cell]
2 Pa 0.000 0.000 0.739 [2 per cell]
3 Zn 0.500 0.000 0.866 [2 per cell]
4 Ga 0.500 0.000 0.600 [2 per cell]


(7)
Below is Mg7Si4 after structural relaxation, with properties calculated at the GGA-PBE level.

Spin magnetization: 0.000 μB per atom
E above lowest polymorph: 0.002 eV/atom
Calculated density: 2.102 Mg/m³

a = 5.457 Å, b = 6.181 Å, c = 13.630 Å
α = 77.28°, β = 84.32°, γ = 89.30°
Space group P1 (No. 1)
Asymmetric unit:
1 Mg 0.000 0.000 0.000 [1 per cell]
2 Mg 0.002 0.386 0.173 [1 per cell]
3 Mg 0.261 0.835 0.796 [1 per cell]
4 Mg 0.277 0.461 0.626 [1 per cell]
5 Mg 0.298 0.972 0.568 [1 per cell]
6 Mg 0.437 0.317 0.845 [1 per cell]
7 Mg 0.502 0.177 0.106 [1 per cell]
8 Mg 0.526 0.647 0.160 [1 per cell]
9 Mg 0.647 0.531 0.422 [1 per cell]
10 Mg 0.759 0.689 0.669 [1 per cell]
11 Mg 0.765 0.205 0.624 [1 per cell]
12 Mg 0.780 0.039 0.424 [1 per cell]
13 Mg 0.831 0.532 0.944 [1 per cell]
14 Mg 0.987 0.858 0.234 [1 per cell]
15 Si 0.113 0.344 0.449 [1 per cell]
16 Si 0.148 0.733 0.435 [1 per cell]
17 Si 0.304 0.558 0.992 [1 per cell]
18 Si 0.396 0.282 0.309 [1 per cell]
19 Si 0.464 0.902 0.301 [1 per cell]
20 Si 0.501 0.912 0.972 [1 per cell]
21 Si 0.763 0.940 0.815 [1 per cell]
22 Si 0.963 0.293 0.795 [1 per cell]


(8)
Below is PrSmGeRh after structural relaxation, with properties calculated at the GGA-PBE level.

ΔH_f (0 K): -0.78 eV per atom
Spin magnetization: 0.000 μB per atom
E above lowest polymorph: 0.000 eV/atom
Calculated density: 7.988 Mg/m³

a = 4.233 Å, b = 4.254 Å, c = 10.777 Å
α = 90.00°, β = 90.00°, γ = 90.00°
Space group Amm2 (No. 38)
Asymmetric unit:
1 Pr 0.000 0.000 0.000 [2 per cell]
2 Sm 0.500 0.000 0.281 [2 per cell]
3 Ge 0.500 0.000 0.574 [2 per cell]
4 Rh 0.000 0.000 0.723 [2 per cell]


(9)
Below is AsPPb2 after structural relaxation, with properties calculated at the GGA-PBE level.

ΔH_f (0 K): 0.26 eV per atom
Spin magnetization: 0.000 μB per atom
E above lowest polymorph: 0.118 eV/atom
Calculated density: 8.154 Mg/m³

a = 3.941 Å, b = 3.941 Å, c = 6.821 Å
α = 90.00°, β = 90.00°, γ = 90.00°
Space group P4mm (No. 99)
Asymmetric unit:
1 As 0.000 0.000 0.000 [1 per cell]
2 P 0.500 0.500 0.247 [1 per cell]
3 Pb 0.000 0.000 0.416 [1 per cell]
4 Pb 0.500 0.500 0.833 [1 per cell]


(10)
Below is ScTi2Pd6 after structural relaxation, with properties calculated at the GGA-PBE level.

ΔH_f (0 K): -0.50 eV per atom
Spin magnetization: 0.000 μB per atom
Calculated density: 8.678 Mg/m³

a = 4.588 Å, b = 7.500 Å, c = 8.666 Å
α = 90.00°, β = 90.00°, γ = 90.00°
Space group Immm (No. 71)
Asymmetric unit:
1 Sc 0.000 0.000 0.000 [2 per cell]
2 Ti 0.000 0.000 0.341 [4 per cell]
3 Pd 0.000 0.303 0.500 [4 per cell]
4 Pd 0.000 0.313 0.170 [8 per cell]


(11)
Below is Mg5Co3 after structural relaxation, with properties calculated at the GGA-PBE level.

ΔH_f (0 K): 0.21 eV per atom
Spin magnetization: 0.361 μB per atom
E above lowest polymorph: 0.003 eV/atom
Calculated density: 3.904 Mg/m³

a = 7.390 Å, b = 8.310 Å, c = 4.133 Å
α = 90.00°, β = 90.00°, γ = 90.00°
Space group Cmmm (No. 65)
Asymmetric unit:
1 Mg 0.000 0.000 0.000 [2 per cell]
2 Mg 0.216 0.500 0.500 [4 per cell]
3 Mg 0.250 0.250 0.000 [4 per cell]
4 Co 0.000 0.238 0.500 [4 per cell]
5 Co 0.000 0.500 0.000 [2 per cell]


(12)
Below is ScPaPb2 after structural relaxation, with properties calculated at the GGA-PBE level.

ΔH_f (0 K): -0.01 eV per atom
Spin magnetization: 0.544 μB per atom
E above lowest polymorph: 0.071 eV/atom
Calculated density: 10.840 Mg/m³

a = 7.507 Å, b = 7.507 Å, c = 7.507 Å
α = 90.00°, β = 90.00°, γ = 90.00°
Space group Fm-3m (No. 225)
Asymmetric unit:
1 Sc 0.000 0.000 0.000 [4 per cell]
2 Pa 0.000 0.000 0.500 [4 per cell]
3 Pb 0.250 0.250 0.250 [8 per cell]